Entry 1:
Here is NdBRh3 after structural relaxation from Alexandria via LeMat-Bulk. Energies are from GGA-PBE.

Results
Final energy in eV per cell: -37.00
Calculated volume in Å³/cell: 77.3
Formation energy in eV/atom: -0.70
Calculated density in g/cm3: 9.97

Cell: 4.259 4.259 4.259 Å, 90.00 90.00 90.00°
Space group Pm-3m (No. 221)
One atom of each set of equivalent atoms:
Nd  0.000  0.000  0.000
B  0.500  0.500  0.500
Rh  0.000  0.500  0.500

=====

Entry 2:
Here is Nd4B3SbRh12 after structural relaxation from Alexandria via LeMat-Bulk. Energies are from GGA-PBE.

Results
E_form (uncorrected) in eV per atom: -0.566
Final energy in eV per cell: -285.52
Calculated volume in Å³/cell: 683.4
Calculated density in g/cm3: 9.55

Cell: 8.808 8.808 8.808 Å, 90.00 90.00 90.00°
Space group Im-3m (No. 229)
One atom of each set of equivalent atoms:
Nd  0.250  0.250  0.250
B  0.000  0.000  0.500
Sb  0.000  0.000  0.000
Rh  0.000  0.000  0.278
Rh  0.000  0.250  0.500

=====

Entry 3:
Here is Nd2BSbRh6 after structural relaxation from Alexandria via LeMat-Bulk. Energies are from GGA-PBE.

Results
E_form (uncorrected) in eV per atom: -0.269
Final energy in eV per cell: -67.13
Calculated volume in Å³/cell: 191.8
Calculated density in g/cm3: 8.99

Cell: 4.642 4.642 8.903 Å, 90.00 90.00 90.00°
Space group P4/mmm (No. 123)
One atom of each set of equivalent atoms:
Nd  0.000  0.000  0.233
B  0.500  0.500  0.000
Sb  0.500  0.500  0.500
Rh  0.000  0.500  0.000
Rh  0.000  0.500  0.500
Rh  0.500  0.500  0.219

=====

Entry 4:
Here is NdSiBRh6 after structural relaxation from Alexandria via LeMat-Bulk. Energies are from GGA-PBE.

Results
E_form (uncorrected) in eV per atom: -0.229
Final energy in eV per cell: -252.14
Calculated volume in Å³/cell: 577.4
Calculated density in g/cm3: 9.21

Cell: 6.004 8.685 11.073 Å, 90.00 90.00 90.00°
Space group Imma (No. 74)
One atom of each set of equivalent atoms:
Nd  0.000  0.250  0.188
Si  0.250  0.250  0.750
B  0.000  0.000  0.500
Rh  0.000  0.250  0.471
Rh  0.000  0.250  0.918
Rh  0.240  0.018  0.627

=====

Entry 5:
Here is Nd3SiB2Rh9 after structural relaxation from Alexandria via LeMat-Bulk. Energies are from GGA-PBE.

Results
E_form (uncorrected) in eV per atom: -0.712
Final energy in eV per cell: -109.92
Calculated volume in Å³/cell: 245.4
Calculated density in g/cm3: 9.53

Cell: 6.1355 6.1355 7.5289 Å, 90.00 90.00 120.00°
Space group P-3m1 (No. 164)
One atom of each set of equivalent atoms:
Nd  0.0000  0.0000  0.0000
Nd  0.3333  0.6667  0.6656
Si  0.0000  0.0000  0.5000
B  0.3333  0.6667  0.1500
Rh  0.0000  0.5000  0.0000
Rh  0.1757  0.3514  0.3203

=====

Entry 6:
Here is Nd3B2TeRh9 after structural relaxation from Alexandria via LeMat-Bulk. Energies are from GGA-PBE.

Results
E_form (uncorrected) in eV per atom: -0.577
Final energy in eV per cell: -105.63
Calculated volume in Å³/cell: 265.2
Calculated density in g/cm3: 9.44

Cell: 5.9496 5.9496 8.6503 Å, 90.00 90.00 120.00°
Space group P-3m1 (No. 164)
One atom of each set of equivalent atoms:
Nd  0.0000  0.0000  0.0000
Nd  0.3333  0.6667  0.6665
B  0.3333  0.6667  0.1440
Te  0.0000  0.0000  0.5000
Rh  0.0000  0.5000  0.0000
Rh  0.1657  0.3315  0.2753

=====

Entry 7:
Here is Nd3ZnB2Rh9 after structural relaxation from Alexandria via LeMat-Bulk. Energies are from GGA-PBE.

Results
Final energy in eV per cell: -103.03
Calculated volume in Å³/cell: 251.3
Formation energy in eV/atom: -0.53
Calculated density in g/cm3: 9.56

Cell: 6.1056 6.1056 7.7834 Å, 90.00 90.00 120.00°
Space group P-3m1 (No. 164)
One atom of each set of equivalent atoms:
Nd  0.0000  0.0000  0.0000
Nd  0.3333  0.6667  0.6552
Zn  0.0000  0.0000  0.5000
B  0.3333  0.6667  0.1477
Rh  0.0000  0.5000  0.0000
Rh  0.1764  0.3528  0.3035

=====

Entry 8:
Here is Nd2ZnB2Rh5 after structural relaxation from Alexandria via LeMat-Bulk. Energies are from GGA-PBE.

Results
Final energy in eV per cell: -134.18
Calculated volume in Å³/cell: 302.8
Formation energy in eV/atom: -0.62
Calculated density in g/cm3: 9.76

Cell: 9.680 9.680 3.232 Å, 90.00 90.00 90.00°
Space group P4/mbm (No. 127)
One atom of each set of equivalent atoms:
Nd  0.177  0.323  0.000
Zn  0.000  0.000  0.000
B  0.122  0.622  0.000
Rh  0.000  0.500  0.500
Rh  0.069  0.777  0.500

=====

Entry 9:
Here is NdB4Ru4 after structural relaxation from Alexandria via LeMat-Bulk. Energies are from GGA-PBE.

Results
Final energy in eV per cell: -145.61
Calculated volume in Å³/cell: 229.0
Energy above the lowest structure with this stoichiometry in eV/atom: 0.000
Formation energy in eV/atom: -0.47
Calculated density in g/cm3: 8.58

Cell: 7.544 7.544 4.025 Å, 90.00 90.00 90.00°
Space group P4_2/n (No. 86, origin choice 2)
One atom of each set of equivalent atoms:
Nd  0.250  0.250  0.250
B  0.039  0.917  0.140
Ru  0.105  0.642  0.140

=====

Entry 10:
Here is NdB14Ru after structural relaxation from Alexandria via LeMat-Bulk. Energies are from GGA-PBE.

Results
Final energy in eV per cell: -435.47
Calculated volume in Å³/cell: 534.2
Formation energy in eV/atom: -0.08
Calculated density in g/cm3: 4.93

Cell: 5.894 10.898 8.315 Å, 90.00 90.00 90.00°
Space group Imma (No. 74)
One atom of each set of equivalent atoms:
Nd  0.000  0.250  0.122
B  0.000  0.082  0.669
B  0.000  0.120  0.866
B  0.000  0.166  0.465
B  0.162  0.061  0.340
B  0.246  0.078  0.549
Ru  0.250  0.250  0.750

=====

Entry 11:
Here is Nd2B4Ru3 after structural relaxation from Alexandria via LeMat-Bulk. Energies are from GGA-PBE.

Results
Final energy in eV per cell: -254.38
Calculated volume in Å³/cell: 571.4
Formation energy in eV/atom: 0.05
Calculated density in g/cm3: 7.38

Cell: 5.645 9.496 10.658 Å, 90.00 90.00 90.00°
Space group Fmmm (No. 69)
One atom of each set of equivalent atoms:
Nd  0.000  0.000  0.157
B  0.000  0.173  0.373
Ru  0.000  0.000  0.500
Ru  0.250  0.250  0.000

=====

Entry 12:
Here is NdBRu2 after structural relaxation from Alexandria via LeMat-Bulk. Energies are from GGA-PBE.

Results
Final energy in eV per cell: -89.32
Calculated volume in Å³/cell: 201.6
Formation energy in eV/atom: 0.06
Calculated density in g/cm3: 8.83

Cell: 3.4445 3.4445 19.6179 Å, 90.00 90.00 120.00°
Space group R-3m (No. 166, hexagonal axes)
One atom of each set of equivalent atoms:
Nd  0.0000  0.0000  0.0000
B  0.0000  0.0000  0.5000
Ru  0.0000  0.0000  0.2138